(1)
NdTmPu2N4 after structural relaxation. Source: the Alexandria database, functional PBE-GGA.

For the formation energy from raw total energies, the calculation gives -11.25 eV/f.u. Its total moment is 9.41 μB/cell. Its calculated total energy is -10.31 eV per atom.

The space group is P2/m (No. 10) and the conventional cell measures 6.026, 3.505 and 6.090 Å, with angles of 90.00, 109.52 and 90.00 degrees. The inequivalent atoms are Nd at (0.000, 0.000, 0.000), Tm at (0.000, 0.500, 0.500), Pu at (0.500, 0.000, 0.500), Pu at (0.500, 0.500, 0.000), N at (0.259, 0.000, 0.741) and N at (0.268, 0.500, 0.269).

---

(2)
PmAg3Br6 after structural relaxation. Source: the Alexandria database, functional PBE-GGA.

As for the offset from the most stable computed form: 0.18 eV/f.u. For the formation energy from raw total energies, the calculation gives -8.85 eV/f.u. Its total moment is 0.00 μB/cell. Its calculated total energy is -3.22 eV per atom.

The space group is P-1 (No. 2) and the conventional cell measures 7.970, 7.974 and 8.255 Å, with angles of 61.33, 61.31 and 62.89 degrees. The inequivalent atoms are Pm at (0.000, 0.000, 0.000), Ag at (0.000, 0.500, 0.000), Ag at (0.500, 0.000, 0.000), Ag at (0.500, 0.500, 0.500), Br at (0.224, 0.732, 0.772), Br at (0.251, 0.252, 0.708) and Br at (0.271, 0.773, 0.225).

---

Which value of calculated total energy does entry 2 give? -3.22 eV per atom

---

What is the formula in the first record? NdTmPu2N4

---

Copy entry 2 word for word.
PmAg3Br6 after structural relaxation. Source: the Alexandria database, functional PBE-GGA.

As for the offset from the most stable computed form: 0.18 eV/f.u. For the formation energy from raw total energies, the calculation gives -8.85 eV/f.u. Its total moment is 0.00 μB/cell. Its calculated total energy is -3.22 eV per atom.

The space group is P-1 (No. 2) and the conventional cell measures 7.970, 7.974 and 8.255 Å, with angles of 61.33, 61.31 and 62.89 degrees. The inequivalent atoms are Pm at (0.000, 0.000, 0.000), Ag at (0.000, 0.500, 0.000), Ag at (0.500, 0.000, 0.000), Ag at (0.500, 0.500, 0.500), Br at (0.224, 0.732, 0.772), Br at (0.251, 0.252, 0.708) and Br at (0.271, 0.773, 0.225).

---

Repeat the first record exactly.
NdTmPu2N4 after structural relaxation. Source: the Alexandria database, functional PBE-GGA.

For the formation energy from raw total energies, the calculation gives -11.25 eV/f.u. Its total moment is 9.41 μB/cell. Its calculated total energy is -10.31 eV per atom.

The space group is P2/m (No. 10) and the conventional cell measures 6.026, 3.505 and 6.090 Å, with angles of 90.00, 109.52 and 90.00 degrees. The inequivalent atoms are Nd at (0.000, 0.000, 0.000), Tm at (0.000, 0.500, 0.500), Pu at (0.500, 0.000, 0.500), Pu at (0.500, 0.500, 0.000), N at (0.259, 0.000, 0.741) and N at (0.268, 0.500, 0.269).